FeWCl2, single point on PBEsol structure, DFT SCAN; volume = 62.2 Å³/f.u.; mass density = 8.29 g/cm3; excess energy over the best structure of this formula in the dataset = 412 meV per atom; formation energy (no corrections) = 211 kJ/mol of formula units; total magnetization = 3.6 Bohr magnetons per cell
1.0
-1.2386 -0.4029 -2.5142
-3.3266 -1.4868 1.8771
-1.5708 5.0989 1.2550
Fe Cl W
1 2 1
Cartesian
-3.0680 1.6046 0.3090 Fe
-0.5785 1.2321 -0.0493 Cl
-2.2309 3.4640 -1.2098 Cl
-1.6633 -0.7434 0.9385 W